Entry 1:
Cd4Pt after structural relaxation. Source: the Alexandria database, functional PBE.

POSCAR file:
```
Cd4Pt
1.0
-1.914 1.914 7.505
1.914 -1.914 7.505
1.914 1.914 -7.505
Cd Pt
4 1
direct
0.090 0.090 0.000
0.250 0.750 0.500
0.750 0.250 0.500
0.910 0.910 0.000
0.500 0.500 0.000
```

Summary:
The total energy comes out at -1.775 eV per atom. The value obtained for the calculated formation energy is 0.166 eV per atom. As for the space-group type: I4/mmm (139).

***

Entry 2:
SiTc2W after structural relaxation. Source: the Alexandria database, functional PBE.

POSCAR file:
```
SiTc2W
1.0
-1.550 2.104 4.375
1.550 -2.104 4.375
1.550 2.104 -4.375
Si Tc W
1 2 1
direct
0.000 0.000 0.000
0.236 0.736 0.500
0.496 0.496 0.000
0.752 0.252 0.500
```

Summary:
The calculation puts the formation energy (no corrections) at -212.8 meV per atom. The total energy comes out at -9.990 eV per atom. As for the space-group type: Imm2 (44).

***

Entry 3:
MnNi2Br after structural relaxation. Source: the Alexandria database, functional PBE.

POSCAR file:
```
MnNi2Br
1.0
0.000 3.045 3.045
3.045 0.000 3.045
3.045 3.045 0.000
Mn Ni Br
1 2 1
direct
0.000 0.000 0.000
0.250 0.250 0.250
0.500 0.500 0.500
0.750 0.750 0.750
```

Summary:
The calculation puts the formation energy (no corrections) at 607.9 meV per atom. The total energy comes out at -4.993 eV per atom. The offset from the most stable computed form is 388 meV/atom. As for the space-group type: F-43m (216).

***

Entry 4:
GaSi2O6 after structural relaxation. Source: the Alexandria database, functional PBE.

POSCAR file:
```
GaSi2O6
1.0
5.456 -5.792 0.000
5.456 5.792 0.000
-2.435 0.000 4.552
Ga Si O
2 4 12
direct
0.250 0.750 0.750
0.750 0.250 0.250
0.170 0.330 0.341
0.330 0.170 0.841
0.670 0.830 0.159
0.830 0.670 0.659
0.046 0.729 0.840
0.224 0.277 0.635
0.230 0.547 0.436
0.271 0.954 0.660
0.277 0.224 0.135
0.453 0.770 0.064
0.547 0.230 0.936
0.723 0.776 0.865
0.729 0.046 0.340
0.770 0.453 0.564
0.776 0.723 0.365
0.954 0.271 0.160
```

Summary:
The calculation puts the formation energy (no corrections) at -2199.7 meV per atom. The total energy comes out at -7.047 eV per atom. As for the space-group type: C2/c (15).

***

Entry 5:
TmSc3Co after structural relaxation. Source: the Alexandria database, functional PBE.

POSCAR file:
```
TmSc3Co
1.0
6.137 -1.764 0.000
6.137 1.764 0.000
-0.718 0.000 10.417
Tm Sc Co
2 6 2
direct
0.146 0.146 0.085
0.854 0.854 0.915
0.060 0.060 0.374
0.226 0.226 0.637
0.422 0.422 0.177
0.578 0.578 0.823
0.774 0.774 0.363
0.940 0.940 0.626
0.409 0.409 0.438
0.591 0.591 0.562
```

Summary:
The total energy comes out at -6.234 eV per atom. The offset from the most stable computed form is 0 meV/atom. The value obtained for the calculated formation energy is -0.119 eV per atom. As for the space-group type: C2/m (12).

***

Entry 6:
LaPr5Nd4 after structural relaxation. Source: the Alexandria database, functional PBE.

POSCAR file:
```
LaPr5Nd4
1.0
14.608 -1.778 0.000
14.608 1.778 0.000
-0.899 0.000 6.983
La Pr Nd
1 5 4
direct
0.000 0.000 0.000
0.000 0.000 0.500
0.295 0.295 0.898
0.299 0.299 0.401
0.701 0.701 0.599
0.705 0.705 0.102
0.108 0.108 0.807
0.406 0.406 0.697
0.594 0.594 0.303
0.892 0.892 0.193
```

Summary:
The total energy comes out at -4.660 eV per atom. The offset from the most stable computed form is 113 meV/atom. The value obtained for the calculated formation energy is 0.129 eV per atom. As for the space-group type: C2/m (12).

***

Entry 7:
Mn2NbOs after structural relaxation. Source: the Alexandria database, functional PBE.

POSCAR file:
```
Mn2NbOs
1.0
-3.417 3.417 2.640
3.417 -3.417 2.640
3.417 3.417 -2.640
Mn Nb Os
4 2 2
direct
0.106 0.125 0.481
0.375 0.894 0.019
0.644 0.625 0.519
0.875 0.356 0.981
0.250 0.750 0.500
0.500 0.500 0.000
0.000 0.000 0.000
0.750 0.250 0.500
```

Summary:
The total energy comes out at -9.361 eV per atom. The offset from the most stable computed form is 570 meV/atom. The value obtained for the calculated formation energy is 0.548 eV per atom. As for the space-group type: I-42d (122).

***

Entry 8:
Ac2Mg2Ag15 after structural relaxation. Source: the Alexandria database, functional PBE.

POSCAR file:
```
Ac2Mg2Ag15
1.0
4.875 2.814 4.858
-4.875 2.814 4.858
0.000 -5.629 4.858
Ac Mg Ag
2 2 15
direct
0.150 0.150 0.150
0.850 0.850 0.850
0.397 0.397 0.397
0.603 0.603 0.603
0.000 0.500 0.500
0.151 0.151 0.652
0.151 0.652 0.151
0.204 0.500 0.796
0.204 0.796 0.500
0.348 0.849 0.849
0.500 0.000 0.500
0.500 0.204 0.796
0.500 0.500 0.000
0.500 0.796 0.204
0.652 0.151 0.151
0.796 0.204 0.500
0.796 0.500 0.204
0.849 0.348 0.849
0.849 0.849 0.348
```

Summary:
The total energy comes out at -2.995 eV per atom. The value obtained for the calculated formation energy is -0.143 eV per atom. As for the space-group type: R-3m (166).